[1]
First-principles (PBE-GGA) data for a relaxed structure of LiFe2P2, as listed in the Alexandria database.

Output
Calculated total energy, eV per atom: -6.350

Unit cell a=6.5532 b=6.5532 c=2.5949 alpha=90.00 beta=90.00 gamma=90.00
With the nearest neighbours (Å) after each atom.
Fractional positions:
Li (0.0000, 0.0000, 0.0000)  4 P 2.49, 2 Li 2.59
Li (0.5000, 0.5000, 0.0000)  4 P 2.49, 2 Li 2.59
Fe (0.1420, 0.3580, 0.5000)  6 P 2.31-2.32
Fe (0.3580, 0.8580, 0.5000)  6 P 2.31-2.32
Fe (0.6420, 0.1420, 0.5000)  6 P 2.31-2.32
Fe (0.8580, 0.6420, 0.5000)  6 P 2.31-2.32
P (0.1518, 0.6518, 0.0000)  6 Fe 2.31-2.32, 2 Li 2.49
P (0.3482, 0.1518, 0.0000)  6 Fe 2.31-2.32, 2 Li 2.49
P (0.6518, 0.8482, 0.0000)  6 Fe 2.31-2.32, 2 Li 2.49
P (0.8482, 0.3482, 0.0000)  6 Fe 2.31-2.32, 2 Li 2.49

---

[2]
First-principles (PBE-GGA) data for a relaxed structure of LiFeP2, as listed in the Alexandria database.

Output
Offset from the most stable computed form, meV per atom: 607
Calculated total energy, eV per atom: -5.051

Unit cell a=4.0747 b=4.0747 c=4.0747 alpha=60.00 beta=60.00 gamma=60.00
With the nearest neighbours (Å) after each atom.
Fractional positions:
Li (0.0000, 0.0000, 0.0000)  4 Fe 2.50, 4 P 2.50
Fe (0.2500, 0.2500, 0.2500)  4 Li 2.50, 4 P 2.50
P (0.5000, 0.5000, 0.5000)  4 Fe 2.50, 4 P 2.50
P (0.7500, 0.7500, 0.7500)  4 Li 2.50, 4 P 2.50

---

[3]
First-principles (PBE-GGA) data for a relaxed structure of LiFePRh, as listed in the Alexandria database.

Output
Calculated total energy, eV per atom: -6.239

Unit cell a=3.9504 b=3.9504 c=3.9504 alpha=60.00 beta=60.00 gamma=60.00
With the nearest neighbours (Å) after each atom.
Fractional positions:
Li (0.0000, 0.0000, 0.0000)  4 Rh 2.42, 4 Fe 2.42
Fe (0.2500, 0.2500, 0.2500)  4 Li 2.42, 4 P 2.42
P (0.5000, 0.5000, 0.5000)  4 Rh 2.42, 4 Fe 2.42
Rh (0.7500, 0.7500, 0.7500)  4 Li 2.42, 4 P 2.42

---

[4]
First-principles (PBE-GGA) data for a relaxed structure of LiFeP2Rh, as listed in the Alexandria database.

Output
Calculated total energy, eV per atom: -6.360

Unit cell a=5.3768 b=5.3768 c=5.3768 alpha=137.74 beta=137.74 gamma=61.30
With the nearest neighbours (Å) after each atom.
Fractional positions:
Li (0.0000, 0.0000, 0.0000)  8 P 2.96, 4 Rh 3.02, 4 Fe 3.02
Fe (0.2500, 0.7500, 0.5000)  4 P 2.27
P (0.3787, 0.3787, 0.0000)  1 P 2.25, 2 Rh 2.27, 2 Fe 2.27
P (0.6213, 0.6213, 0.0000)  1 P 2.25, 2 Fe 2.27, 2 Rh 2.27
Rh (0.7500, 0.2500, 0.5000)  4 P 2.27

---

[5]
First-principles (PBE-GGA) data for a relaxed structure of LiFeP2Ru, as listed in the Alexandria database.

Output
Calculated total energy, eV per atom: -6.700

Unit cell a=5.3343 b=5.3343 c=5.3343 alpha=137.03 beta=137.03 gamma=62.39
With the nearest neighbours (Å) after each atom.
Fractional positions:
Li (0.0000, 0.0000, 0.0000)  8 P 2.99, 4 Ru 3.00, 4 Fe 3.00
Fe (0.7500, 0.2500, 0.5000)  4 P 2.26
P (0.3748, 0.3748, 0.0000)  2 Ru 2.26, 2 Fe 2.26, 1 P 2.29
P (0.6252, 0.6252, 0.0000)  2 Fe 2.26, 2 Ru 2.26, 1 P 2.29
Ru (0.2500, 0.7500, 0.5000)  4 P 2.26

---

[6]
First-principles (PBE-GGA) data for a relaxed structure of LiFePS2, as listed in the Alexandria database.

Output
Offset from the most stable computed form, meV per atom: 981
Raw formation energy, meV/atom: 1053
Calculated total energy, eV per atom: -3.755

Unit cell a=4.3189 b=4.3189 c=4.1094 alpha=90.00 beta=90.00 gamma=90.00
With the nearest neighbours (Å) after each atom.
Fractional positions:
Li (0.0000, 0.0000, 0.0000)  2 P 2.05, 4 S 2.16
Fe (0.5000, 0.5000, 0.5000)  8 S 2.98, 4 P 3.05
P (0.0000, 0.0000, 0.5000)  2 Li 2.05
S (0.0000, 0.5000, 0.0000)  2 Li 2.16
S (0.5000, 0.0000, 0.0000)  2 Li 2.16

---

[7]
First-principles (PBE-GGA) data for a relaxed structure of LiFePS2, as listed in the Alexandria database.

Output
Offset from the most stable computed form, meV per atom: 0
Raw formation energy, meV/atom: 72
Calculated total energy, eV per atom: -4.737

Unit cell a=4.6954 b=4.6954 c=4.2309 alpha=90.00 beta=90.00 gamma=90.00
With the nearest neighbours (Å) after each atom.
Fractional positions:
Li (0.0000, 0.0000, 0.0000)  8 S 3.16, 4 P 3.32
Fe (0.5000, 0.5000, 0.5000)  2 P 2.12, 4 S 2.35
P (0.5000, 0.5000, 0.0000)  2 Fe 2.12
S (0.0000, 0.5000, 0.5000)  2 Fe 2.35
S (0.5000, 0.0000, 0.5000)  2 Fe 2.35

---

[8]
First-principles (PBE-GGA) data for a relaxed structure of LiPaFe4, as listed in the Alexandria database.

Output
Calculated total energy, eV per atom: -7.536

Unit cell a=4.9140 b=4.9140 c=4.9140 alpha=60.00 beta=60.00 gamma=60.00
With the nearest neighbours (Å) after each atom.
Fractional positions:
Li (0.0000, 0.0000, 0.0000)  12 Fe 2.88, 4 Pa 3.01
Pa (0.7500, 0.7500, 0.7500)  12 Fe 2.88, 4 Li 3.01
Fe (0.3745, 0.3745, 0.3745)  6 Fe 2.45-2.47
Fe (0.3745, 0.3745, 0.8766)  6 Fe 2.45-2.47
Fe (0.3745, 0.8766, 0.3745)  6 Fe 2.45-2.47
Fe (0.8766, 0.3745, 0.3745)  6 Fe 2.45-2.47

---

no.,M_tot (μB/atom)
1,0.000
2,0.264
3,0.000
4,0.000
5,0.007
6,0.007
7,0.466
8,1.054